## Dy4Ho3PuSe8 (PBE)

Data for a relaxed Dy4Ho3PuSe8 crystal.

## Properties
* total energy: -305.8 eV for the cell shown

a b c (Å): 8.1479 8.1479 19.9702
angles (deg): 90.00 90.00 120.00
With the nearest neighbours (Å) after each atom.
Space group R-3m (No. 166, hexagonal axes)
Asymmetric unit:
Dy: 0.0000 0.0000 0.0000  6 Se 2.86
Dy: 0.0000 0.5000 0.0000  6 Se 2.89
Ho: 0.0000 0.5000 0.5000  6 Se 2.87
Pu: 0.0000 0.0000 0.5000  6 Se 2.90
Se: 0.0000 0.0000 0.2494  3 Ho 2.87, 3 Dy 2.89
Se: 0.0030 0.5015 0.7499  3 Dy 2.86-2.89, 2 Ho 2.87, 1 Pu 2.90



## Dy2Ho3PuSe6 (PBE)

Data for a relaxed Dy2Ho3PuSe6 crystal.

## Properties
* total energy: -157.7 eV for the cell shown

a b c (Å): 17.7785 4.0541 8.1846
angles (deg): 90.00 103.40 90.00
With the nearest neighbours (Å) after each atom.
Space group C2/m (No. 12)
Asymmetric unit:
Dy: 0.1637 0.0000 0.3285  6 Se 2.84-2.92
Ho: 0.0000 0.5000 0.5000  6 Se 2.85-2.90
Ho: 0.1650 0.0000 0.8353  6 Se 2.84-2.89
Pu: 0.0000 0.5000 0.0000  6 Se 2.91-2.93
Se: 0.0007 0.0000 0.7453  3 Ho 2.84-2.85, 1 Dy 2.84, 2 Pu 2.91
Se: 0.1676 0.5000 0.5844  3 Ho 2.89-2.90, 3 Dy 2.90-2.92
Se: 0.1693 0.5000 0.0837  3 Ho 2.86-2.87, 2 Dy 2.87, 1 Pu 2.93



## Dy3HoPu2Se6 (PBE)

Data for a relaxed Dy3HoPu2Se6 crystal.

## Properties
* total energy: -176.7 eV for the cell shown

a b c (Å): 17.8566 4.0773 8.2168
angles (deg): 90.00 103.52 90.00
With the nearest neighbours (Å) after each atom.
Space group C2/m (No. 12)
Asymmetric unit:
Dy: 0.0000 0.0000 0.0000  6 Se 2.88-2.90
Dy: 0.1679 0.5000 0.3334  6 Se 2.87-2.89
Ho: 0.0000 0.0000 0.5000  6 Se 2.88-2.89
Pu: 0.1658 0.5000 0.8330  6 Se 2.91-2.92
Se: 0.0023 0.5000 0.2523  3 Dy 2.88-2.90, 2 Ho 2.89, 1 Pu 2.92
Se: 0.1659 0.0000 0.0858  3 Dy 2.87-2.88, 3 Pu 2.91-2.92
Se: 0.1656 0.0000 0.5788  3 Dy 2.87-2.89, 1 Ho 2.88, 2 Pu 2.92



## Dy3HoPu3Se8 (PBE)

Data for a relaxed Dy3HoPu3Se8 crystal.

## Properties
* total energy: -345.5 eV for the cell shown

a b c (Å): 8.1886 8.1886 20.1510
angles (deg): 90.00 90.00 120.00
With the nearest neighbours (Å) after each atom.
Space group R-3m (No. 166, hexagonal axes)
Asymmetric unit:
Dy: 0.0000 0.5000 0.0000  6 Se 2.87-2.88
Ho: 0.0000 0.0000 0.0000  6 Se 2.90
Pu: 0.0000 0.5000 0.5000  6 Se 2.91-2.93
Se: 0.0000 0.0000 0.2513  3 Dy 2.88, 3 Pu 2.91
Se: 0.0026 0.5013 0.2515  2 Dy 2.87, 1 Ho 2.90, 2 Pu 2.93



## SmDyHoPu (PBE)

Data for a relaxed SmDyHoPu crystal.

## Properties
* ΔE_f: 207 meV/atom
* total energy: -109.6 eV for the cell shown

a b c (Å): 7.9303 7.9303 7.9303
angles (deg): 90.00 90.00 90.00
With the nearest neighbours (Å) after each atom.
Space group F-43m (No. 216)
Asymmetric unit:
Sm: 0.0000 0.0000 0.0000  4 Dy 3.43, 4 Ho 3.43
Dy: 0.2500 0.2500 0.2500  4 Sm 3.43, 4 Pu 3.43
Ho: 0.2500 0.2500 0.7500  4 Sm 3.43, 4 Pu 3.43
Pu: 0.0000 0.0000 0.5000  4 Dy 3.43, 4 Ho 3.43



## Sm2Dy6Ho3Pu (PBE)

Data for a relaxed Sm2Dy6Ho3Pu crystal.

## Properties
* ΔE_f: 46 meV/atom
* total energy: -129.1 eV for the cell shown

a b c (Å): 6.1328 10.6307 11.7066
angles (deg): 90.00 100.11 90.00
With the nearest neighbours (Å) after each atom.
Space group C2/m (No. 12)
Asymmetric unit:
Sm: 0.0000 0.1665 0.0000  3 Sm 3.54, 3 Pu 3.54, 6 Dy 3.54-3.55
Dy: 0.2462 0.5000 0.7496  6 Dy 3.50-3.56, 3 Ho 3.52-3.54, 1 Pu 3.53, 2 Sm 3.54
Dy: 0.2479 0.3353 0.2503  6 Dy 3.50-3.56, 1 Pu 3.52, 3 Ho 3.52-3.54, 2 Sm 3.54-3.55
Ho: 0.0000 0.0000 0.5000  6 Dy 3.52-3.54, 6 Ho 3.54
Ho: 0.0000 0.3331 0.5000  6 Dy 3.52-3.54, 6 Ho 3.54-3.55
Pu: 0.0000 0.5000 0.0000  6 Dy 3.52-3.53, 6 Sm 3.54



Among the records above, which one has the lowest total energy? Dy3HoPu3Se8



Number 5 is which compound? SmDyHoPu